Entry from Alexandria via LeMat-Bulk: a relaxed structure of GdDyBr2 (GGA-PBE).

Computed properties:
As for the total magnetization: 1.88 μB/atom. For the formation energy from raw total energies, the calculation gives -95.5 kJ/mol of atoms.

abc: 3.6571 3.6571 30.3463
angles: 90.00 90.00 120.00
Space group R-3m (No. 166, hexagonal axes)
Unique sites:
Gd (0.0000, 0.0000, 0.0000) x3
Dy (0.0000, 0.0000, 0.5000) x3
Br (0.0000, 0.0000, 0.0982) x6